1.
{"formula": "FeSi3", "functional": "PBE-GGA", "state": "relaxed", "lattice": [[-1.669, 2.085, 3.635], [1.669, -2.085, 3.635], [1.669, 2.085, -3.635]], "species": ["Fe", "Si", "Si", "Si"], "frac_coords": [[0.000, 0.000, 0.000], [0.254, 0.754, 0.500], [0.500, 0.500, 0.000], [0.746, 0.246, 0.500]], "dft_energy_ev_per_atom": -5.97, "dos_ef_per_ev_atom": 0.594, "sg": "Immm"}

=====

2.
{"formula": "Fe13Si2", "functional": "PBE-GGA", "state": "relaxed", "lattice": [[4.675, 0.000, 0.000], [0.833, 6.263, 0.000], [0.790, 2.489, 5.807]], "species": ["Fe", "Fe", "Fe", "Fe", "Fe", "Fe", "Fe", "Fe", "Fe", "Fe", "Fe", "Fe", "Fe", "Si", "Si"], "frac_coords": [[0.000, 0.000, 0.000], [0.066, 0.736, 0.399], [0.201, 0.203, 0.197], [0.265, 0.929, 0.600], [0.333, 0.664, 0.002], [0.391, 0.399, 0.403], [0.471, 0.130, 0.801], [0.529, 0.870, 0.199], [0.609, 0.601, 0.597], [0.667, 0.336, 0.998], [0.735, 0.071, 0.400], [0.799, 0.797, 0.803], [0.934, 0.264, 0.601], [0.142, 0.466, 0.791], [0.858, 0.534, 0.209]], "e_above_lowest_polymorph_mev_per_atom": 0, "dft_energy_ev_per_atom": -8.20, "dos_ef_per_ev_atom": 0.814, "sg": "P-1"}

=====

In μB per formula unit, the spin magnetization values for the records above are, in order, 1.3; 28.0.